Computed, not measured: crystalline Mn2CuOs at its relaxed geometry at the PBE-GGA level of DFT.

- crystal system = monoclinic
- VASP energy (eV per atom) = -8.1649
- energy relative to the elements (eV per atom) = 0.25

```
Mn2CuOs
1.0
4.295 -1.313 0.000
4.295 1.313 0.000
-0.737 0.000 4.418
Mn Cu Os
2 1 1
direct
0.250 0.250 0.246
0.750 0.750 0.754
0.500 0.500 0.000
0.000 0.000 0.500
```


Computed, not measured: crystalline SrHoF6 at its relaxed geometry at the PBE-GGA level of DFT.

- crystal system = orthorhombic
- raw formation energy (meV/atom) = -3412
- VASP energy (eV per atom) = -5.5984

```
SrHoF6
1.0
3.971 0.000 0.000
0.000 3.690 4.124
0.000 -3.690 4.124
Sr Ho F
1 1 6
direct
0.000 0.000 0.000
0.500 0.446 0.446
0.000 0.348 0.348
0.000 0.510 0.775
0.000 0.775 0.510
0.500 0.126 0.715
0.500 0.182 0.182
0.500 0.715 0.126
```


Computed, not measured: crystalline MoRuS3 at its relaxed geometry at the PBE-GGA level of DFT.

- crystal system = cubic
- raw formation energy (meV/atom) = 739
- VASP energy (eV per atom) = -5.7584

```
MoRuS3
1.0
4.659 0.000 0.000
0.000 4.659 0.000
0.000 0.000 4.659
Mo Ru S
1 1 3
direct
0.000 0.000 0.000
0.500 0.500 0.500
0.000 0.000 0.500
0.000 0.500 0.000
0.500 0.000 0.000
```


Computed, not measured: crystalline NdSm12In3 at its relaxed geometry at the PBE-GGA level of DFT.

- crystal system = tetragonal
- VASP energy (eV per atom) = -4.5425
- energy relative to the elements (eV per atom) = -0.19

```
NdSm12In3
1.0
4.952 0.000 0.000
0.000 4.952 0.000
0.000 0.000 20.268
Nd Sm In
1 12 3
direct
0.000 0.000 0.000
0.000 0.500 0.133
0.000 0.500 0.378
0.000 0.500 0.622
0.000 0.500 0.867
0.500 0.000 0.133
0.500 0.000 0.378
0.500 0.000 0.622
0.500 0.000 0.867
0.500 0.500 0.000
0.500 0.500 0.256
0.500 0.500 0.500
0.500 0.500 0.744
0.000 0.000 0.257
0.000 0.000 0.500
0.000 0.000 0.743
```


- Among the records above, which one has the lowest VASP energy?
  Mn2CuOs


What did the first record say?
Computed, not measured: crystalline Mn2CuOs at its relaxed geometry at the PBE-GGA level of DFT.

- crystal system = monoclinic
- VASP energy (eV per atom) = -8.1649
- energy relative to the elements (eV per atom) = 0.25

```
Mn2CuOs
1.0
4.295 -1.313 0.000
4.295 1.313 0.000
-0.737 0.000 4.418
Mn Cu Os
2 1 1
direct
0.250 0.250 0.246
0.750 0.750 0.754
0.500 0.500 0.000
0.000 0.000 0.500
```